A plane-wave DFT calculation with PBE was carried out for a relaxed LaZr2CdMo crystal.

Results
energy of formation from the pure elements	1341	meV per atom

Structure (POSCAR):
```
LaZr2CdMo
1.0
5.1296 0.0000 0.0000
0.0000 5.1296 0.0000
0.0000 0.0000 4.7739
La Zr Cd Mo
1 2 1 1
Cartesian
0.0000 0.0000 0.0000
0.0000 2.5648 0.0000
2.5648 0.0000 0.0000
2.5648 2.5648 2.3869
0.0000 0.0000 2.3869
```


A plane-wave DFT calculation with PBE was carried out for a relaxed La9Cd3N2 crystal.

Results
formation energy from raw total energies	-0.541	eV/atom

Structure (POSCAR):
```
La9Cd3N2
1.0
7.2631 0.0000 0.0000
-3.6316 6.2901 0.0000
0.0000 0.0000 8.9306
La Cd N
9 3 2
Cartesian
-1.8158 3.1450 0.0000
0.0000 2.1773 6.0176
-1.7460 5.2014 6.0176
1.8856 1.0886 2.9130
3.6316 0.0000 0.0000
1.8158 3.1450 0.0000
1.7460 5.2014 6.0176
5.3775 1.0886 2.9130
3.6316 4.1128 2.9130
0.0000 0.0000 0.0000
0.0000 4.1934 2.9922
3.6316 2.0967 5.9384
0.0000 4.1934 7.4242
3.6316 2.0967 1.5064
```